[1]
# NaZrTe3Pt, relaxed, DFT PBE-GGA
data_NaZrTe3Pt
_chemical_formula_sum 'Na4 Zr4 Te12 Pt4'
_cell_length_a 3.947
_cell_length_b 15.319
_cell_length_c 10.539
_cell_angle_alpha 90.00
_cell_angle_beta 90.00
_cell_angle_gamma 90.00
_space_group_name_H-M_alt 'C m c m'
_space_group_IT_number 63
_space_group_name_Hall '-C 2c 2'
loop_
_atom_site_label
_atom_site_fract_x
_atom_site_fract_y
_atom_site_fract_z
Na1 0.000 0.229 0.250
Zr1 0.000 0.000 0.000
Te1 0.000 0.091 0.750
Te2 0.000 0.362 0.554
Pt1 0.000 0.474 0.750
# VASP energy: -4.96 eV/atom
# density: 7.21 g/cm3
# size of the total moment: 0.076 μB per cell

[2]
# NaTlPt2, relaxed, DFT PBE-GGA
data_NaTlPt2
_chemical_formula_sum 'Na4 Tl4 Pt8'
_cell_length_a 6.642
_cell_length_b 6.642
_cell_length_c 6.642
_cell_angle_alpha 90.00
_cell_angle_beta 90.00
_cell_angle_gamma 90.00
_space_group_name_H-M_alt 'F -4 3 m'
_space_group_IT_number 216
_space_group_name_Hall 'F -4 2 3'
loop_
_atom_site_label
_atom_site_fract_x
_atom_site_fract_y
_atom_site_fract_z
Na1 0.000 0.000 0.000
Tl1 0.250 0.250 0.750
Pt1 0.000 0.000 0.500
Pt2 0.250 0.250 0.250
# VASP energy: -3.96 eV/atom
# density: 14.00 g/cm3
# size of the total moment: 0.018 μB per cell

[3]
# NaZrTlPt, relaxed, DFT PBE-GGA
data_NaZrTlPt
_chemical_formula_sum 'Na4 Zr4 Tl4 Pt4'
_cell_length_a 6.754
_cell_length_b 6.754
_cell_length_c 6.754
_cell_angle_alpha 90.00
_cell_angle_beta 90.00
_cell_angle_gamma 90.00
_space_group_name_H-M_alt 'F -4 3 m'
_space_group_IT_number 216
_space_group_name_Hall 'F -4 2 3'
loop_
_atom_site_label
_atom_site_fract_x
_atom_site_fract_y
_atom_site_fract_z
Na1 0.000 0.000 0.000
Zr1 0.250 0.250 0.750
Tl1 0.250 0.250 0.250
Pt1 0.000 0.000 0.500
# VASP energy: -4.86 eV/atom
# density: 11.07 g/cm3
# offset from the most stable computed form: 0.0000 eV/atom
# size of the total moment: 0.001 μB per cell

[4]
# NaZrTlPt, relaxed, DFT PBE-GGA
data_NaZrTlPt
_chemical_formula_sum 'Na4 Zr4 Tl4 Pt4'
_cell_length_a 6.888
_cell_length_b 6.888
_cell_length_c 6.888
_cell_angle_alpha 90.00
_cell_angle_beta 90.00
_cell_angle_gamma 90.00
_space_group_name_H-M_alt 'F -4 3 m'
_space_group_IT_number 216
_space_group_name_Hall 'F -4 2 3'
loop_
_atom_site_label
_atom_site_fract_x
_atom_site_fract_y
_atom_site_fract_z
Na1 0.000 0.000 0.000
Zr1 0.000 0.000 0.500
Tl1 0.250 0.250 0.250
Pt1 0.250 0.250 0.750
# VASP energy: -4.78 eV/atom
# density: 10.44 g/cm3
# offset from the most stable computed form: 0.0857 eV/atom
# size of the total moment: 0.009 μB per cell